Na2LiTi: relaxed, GGA-PBE.

Unit cell a=5.3328 b=5.3328 c=5.3328 alpha=60.00 beta=60.00 gamma=60.00
With the nearest neighbours (Å) after each atom.
Positions (direct):
Ti1 0.5000 0.5000 0.5000  8 Na 3.27
Na1 0.7500 0.7500 0.7500  4 Li 3.27, 4 Ti 3.27
Na2 0.2500 0.2500 0.2500  4 Ti 3.27, 4 Li 3.27
Li1 0.0000 0.0000 0.0000  8 Na 3.27

Output
SG ... No. 225
Energy relative to the elements ... 0.7287 eV per atom
Total moment ... 0.734 μB per atom

---

Ac2UMo2N6: relaxed, GGA-PBE.

Unit cell a=5.9477 b=5.9477 c=6.9312 alpha=64.59 beta=64.59 gamma=60.00
With the nearest neighbours (Å) after each atom.
Positions (direct):
N1 0.2257 0.7523 0.2696  1 Mo 1.86
N2 0.7523 0.7523 0.2696  1 Mo 1.86
N3 0.2477 0.7743 0.7304  1 Mo 1.86
N4 0.7743 0.2477 0.7304  1 Mo 1.86
N5 0.2477 0.2477 0.7304  1 Mo 1.86
N6 0.7523 0.2257 0.2696  1 Mo 1.86
Ac1 0.2094 0.2094 0.3717  3 N 2.70
Ac2 0.7906 0.7906 0.6283  3 N 2.70
Mo1 0.6001 0.6001 0.1998  3 N 1.86
Mo2 0.3999 0.3999 0.8002  3 N 1.86
U1 0.0000 0.0000 0.0000  6 N 2.30

Output
SG ... No. 166
Total moment ... 0.108 μB per atom
Total energy ... -100.117 eV per cell

---

Question: What is the total moment in the first record?
Answer: 0.734 μB per atom